1.
{"formula": "ZrSiBr2", "functional": "PBEsol", "state": "relaxed", "lattice_angstrom": [[-2.900, 1.487, 0.517], [-1.504, -1.393, -4.432], [-1.776, -4.129, 1.909]], "species": ["Br", "Br", "Si", "Zr"], "fractional_positions": [[0.000, 0.500, 0.000], [0.000, 0.000, 0.500], [0.500, 0.000, 0.000], [0.500, 0.500, 0.500]], "e_form_raw_ev_per_atom": 0.11}

2.
{"formula": "SnBr2", "functional": "PBEsol", "state": "relaxed", "lattice_angstrom": [[4.276, 0.000, 0.000], [0.000, 12.110, 0.000], [0.000, -6.055, 10.488]], "species": ["Sn", "Sn", "Sn", "Sn", "Sn", "Sn", "Br", "Br", "Br", "Br", "Br", "Br", "Br", "Br", "Br", "Br", "Br", "Br"], "fractional_positions": [[0.750, 0.301, 0.417], [0.750, 0.583, 0.884], [0.750, 0.116, 0.699], [0.250, 0.699, 0.583], [0.250, 0.417, 0.116], [0.250, 0.884, 0.301], [0.250, 0.234, 0.240], [0.250, 0.760, 0.995], [0.250, 0.005, 0.766], [0.750, 0.766, 0.760], [0.750, 0.240, 0.005], [0.750, 0.995, 0.234], [0.750, 0.519, 0.381], [0.750, 0.619, 0.138], [0.750, 0.862, 0.481], [0.250, 0.481, 0.619], [0.250, 0.381, 0.862], [0.250, 0.138, 0.519]], "e_form_raw_ev_per_atom": -0.74}

3.
{"formula": "SnBr2", "functional": "PBEsol", "state": "relaxed", "lattice_angstrom": [[-1.600, -3.761, -1.274], [4.115, 0.933, -0.729], [1.579, -2.575, 5.619]], "species": ["Sn", "Br", "Br"], "fractional_positions": [[0.000, 0.000, 0.500], [0.333, 0.667, 0.760], [0.667, 0.333, 0.240]], "e_form_raw_ev_per_atom": -0.72}

4.
{"formula": "SnBr2", "functional": "PBEsol", "state": "relaxed", "lattice_angstrom": [[4.150, 0.000, 0.000], [0.000, 8.027, 0.000], [0.000, 0.000, 10.834]], "species": ["Sn", "Sn", "Sn", "Sn", "Br", "Br", "Br", "Br", "Br", "Br", "Br", "Br"], "fractional_positions": [[0.750, 0.138, 0.843], [0.250, 0.862, 0.157], [0.750, 0.638, 0.657], [0.250, 0.362, 0.343], [0.750, 0.820, 0.954], [0.250, 0.180, 0.046], [0.750, 0.320, 0.546], [0.250, 0.680, 0.454], [0.750, 0.523, 0.199], [0.250, 0.477, 0.801], [0.750, 0.023, 0.301], [0.250, 0.977, 0.699]], "e_form_raw_ev_per_atom": -0.74}

5.
{"formula": "SnBr2", "functional": "PBEsol", "state": "relaxed", "lattice_angstrom": [[-3.483, 2.371, 0.999], [-3.374, -5.794, 1.986], [2.424, 0.819, 6.507]], "species": ["Sn", "Sn", "Br", "Br", "Br", "Br"], "fractional_positions": [[0.000, 0.000, 0.000], [0.500, 0.500, 0.500], [0.000, 0.297, 0.297], [0.000, 0.703, 0.703], [0.500, 0.203, 0.797], [0.500, 0.797, 0.203]], "e_form_raw_ev_per_atom": -0.71}

6.
{"formula": "Sr3SnBr", "functional": "PBEsol", "state": "relaxed", "lattice_angstrom": [[6.281, 0.000, 0.000], [0.000, 6.281, 0.000], [0.000, 0.000, 6.281]], "species": ["Sr", "Sr", "Sr", "Sn", "Br"], "fractional_positions": [[0.000, 0.500, 0.000], [0.000, 0.000, 0.500], [0.500, 0.000, 0.000], [0.000, 0.000, 0.000], [0.500, 0.500, 0.500]], "e_form_raw_ev_per_atom": -0.53}